[1]
## La4SmAu5 (GGA-PBE)

Data for a geometry-optimized La4SmAu5 structure.

abc: 3.735 3.735 19.044
angles: 90.00 90.00 90.00
Space group P4/mmm (No. 123)
Symmetry-distinct sites (fractional):
La1 0.000 0.000 0.101 x2
La2 0.000 0.000 0.303 x2
Sm1 0.000 0.000 0.500 x1
Au1 0.500 0.500 0.000 x1
Au2 0.500 0.500 0.202 x2
Au3 0.500 0.500 0.408 x2


[2]
## NaSi3Cl (GGA-PBE)

Data for a geometry-optimized NaSi3Cl structure.

abc: 4.896 4.896 4.896
angles: 90.00 90.00 90.00
Space group Pm-3m (No. 221)
Symmetry-distinct sites (fractional):
Na1 0.000 0.000 0.000 x1
Si1 0.000 0.500 0.500 x3
Cl1 0.500 0.500 0.500 x1

Summary:
Raw formation energy (eV per atom): 0.9475
Energy above the most stable polymorph in this dataset (kJ/mol of atoms): 0.0


[3]
## Pm2Pr3In7 (GGA-PBE)

Data for a geometry-optimized Pm2Pr3In7 structure.

abc: 5.278 25.213 5.555
angles: 90.00 90.00 90.00
Space group Cmmm (No. 65)
Symmetry-distinct sites (fractional):
Pm1 0.000 0.143 0.000 x4
Pr1 0.000 0.342 0.500 x4
Pr2 0.000 0.500 0.500 x2
In1 0.000 0.000 0.000 x2
In2 0.000 0.078 0.500 x4
In3 0.000 0.273 0.000 x4
In4 0.000 0.428 0.000 x4


[4]
## MgPtCl2 (GGA-PBE)

Data for a geometry-optimized MgPtCl2 structure.

abc: 3.363 3.889 13.812
angles: 90.00 90.00 90.00
Space group Imm2 (No. 44)
Symmetry-distinct sites (fractional):
Mg1 0.000 0.000 0.000 x2
Pt1 0.000 0.500 0.351 x2
Cl1 0.000 0.000 0.581 x2
Cl2 0.000 0.500 0.845 x2

Summary:
Raw formation energy (eV per atom): -0.5541
Energy above the most stable polymorph in this dataset (kJ/mol of atoms): 30.0


[5]
## LiPaVN3 (GGA-PBE)

Data for a geometry-optimized LiPaVN3 structure.

abc: 5.518 3.277 7.951
angles: 90.00 107.56 90.00
Space group P2_1/m (No. 11)
Symmetry-distinct sites (fractional):
Li1 0.115 0.250 0.419 x2
Pa1 0.486 0.750 0.776 x2
V1 0.031 0.250 0.873 x2
N1 0.195 0.250 0.683 x2
N2 0.233 0.750 0.976 x2
N3 0.292 0.750 0.318 x2

Summary:
Raw formation energy (eV per atom): -1.1812


[6]
## K4Cu3PbCl12 (GGA-PBE)

Data for a geometry-optimized K4Cu3PbCl12 structure.

abc: 10.115 10.115 10.115
angles: 90.00 90.00 90.00
Space group Im-3m (No. 229)
Symmetry-distinct sites (fractional):
K1 0.250 0.250 0.250 x8
Cu1 0.000 0.000 0.500 x6
Pb1 0.000 0.000 0.000 x2
Cl1 0.000 0.000 0.271 x12
Cl2 0.000 0.250 0.500 x12

Summary:
Raw formation energy (eV per atom): -1.1396


[7]
## HfGa2Cl4F2 (GGA-PBE)

Data for a geometry-optimized HfGa2Cl4F2 structure.

abc: 12.413 7.473 5.675
angles: 90.00 102.32 90.00
Space group C2/m (No. 12)
Symmetry-distinct sites (fractional):
Hf1 0.000 0.000 0.000 x2
Ga1 0.243 0.000 0.670 x4
Cl1 0.103 0.232 0.827 x8
F1 0.118 0.000 0.300 x4

Summary:
Raw formation energy (eV per atom): -1.8635


[8]
## TeIF2 (GGA-PBE)

Data for a geometry-optimized TeIF2 structure.

abc: 7.134 4.890 14.773
angles: 90.00 118.32 90.00
Space group P2_1/c (No. 14)
Symmetry-distinct sites (fractional):
Te1 0.196 0.043 0.408 x4
I1 0.244 0.728 0.237 x4
F1 0.178 0.214 0.523 x4
F2 0.408 0.716 0.013 x4

Summary:
Raw formation energy (eV per atom): -1.1257
Energy above the most stable polymorph in this dataset (kJ/mol of atoms): 0.0


Number 1: D(E_F) 8.1 states/eV/cell, total energy -4.865 eV/atom. Number 2: D(E_F) 1.3 states/eV/cell, total energy -2.939 eV/atom. Number 3: D(E_F) 18.4 states/eV/cell, total energy -3.838 eV/atom. Number 4: D(E_F) 1.5 states/eV/cell, total energy -3.386 eV/atom. Number 5: D(E_F) 3.8 states/eV/cell, total energy -8.765 eV/atom. Number 6: D(E_F) 16.7 states/eV/cell, total energy -3.267 eV/atom. Number 7: D(E_F) 0.0 states/eV/cell, total energy -4.879 eV/atom. Number 8: D(E_F) 1.2 states/eV/cell, total energy -3.234 eV/atom.